Record 1
Below is a PBEsol-optimized structure of LiGaRuW2, with properties calculated at the meta-GGA SCAN level.

Cell and atoms, written as POSCAR:
```
LiGaRuW2
1.0
4.5916 0.0000 0.0000
0.0000 4.5916 0.0000
0.0000 0.0000 4.4566
Li Ga Ru W
1 1 1 2
Cartesian
0.0000 0.0000 0.0000
2.2958 2.2958 2.2283
2.2958 2.2958 0.0000
0.0000 2.2958 2.2283
2.2958 0.0000 2.2283
```

Values from the calculation:
N(E_F)	5.4	states/eV/f.u.
space-group type	P4/mmm
M_tot	0.00	μB per cell
ΔE_f	9.49	eV per formula unit

=====

Record 2
Below is a PBEsol-optimized structure of Li3GaS, with properties calculated at the meta-GGA SCAN level.

Cell and atoms, written as POSCAR:
```
Li3GaS
1.0
4.5559 0.0000 0.0000
0.0000 4.5559 0.0000
0.0000 0.0000 4.5559
Li Ga S
3 1 1
Cartesian
0.0000 0.0000 2.2780
0.0000 2.2780 0.0000
2.2780 0.0000 0.0000
2.2780 2.2780 2.2780
0.0000 0.0000 0.0000
```

Values from the calculation:
N(E_F)	2.8	states/eV/f.u.
space-group type	Pm-3m
formation energy without anion corrections	-0.584	eV per atom
M_tot	0.00	μB per cell

=====

Record 3
Below is a PBEsol-optimized structure of LiGaWS2, with properties calculated at the meta-GGA SCAN level.

Cell and atoms, written as POSCAR:
```
LiGaWS2
1.0
4.7865 0.0000 0.0000
0.0000 4.7865 0.0000
0.0000 0.0000 4.8244
Li Ga W S
1 1 1 2
Cartesian
0.0000 0.0000 0.0000
2.3932 2.3932 2.4122
2.3932 2.3932 0.0000
0.0000 2.3932 2.4122
2.3932 0.0000 2.4122
```

Values from the calculation:
N(E_F)	2.5	states/eV/f.u.
space-group type	P4/mmm
formation energy without anion corrections	1.048	eV per atom
M_tot	3.80	μB per cell

=====

Record 4
Below is a PBEsol-optimized structure of Li2GaSb, with properties calculated at the meta-GGA SCAN level.

Cell and atoms, written as POSCAR:
```
Li2GaSb
1.0
-2.0460 2.0460 9.4323
2.0460 -2.0460 9.4323
2.0460 2.0460 -9.4323
Li Ga Sb
4 2 2
Cartesian
3.0690 0.9955 -2.3581
0.9955 1.0230 2.3581
-1.0230 1.0505 7.0742
1.0505 1.0230 11.7903
0.0000 0.0000 0.0000
0.0000 2.0460 4.7161
2.0460 0.0000 4.7161
0.0000 0.0000 9.4323
```

Values from the calculation:
N(E_F)	1.8	states/eV/f.u.
space-group type	I-42d
energy above the lowest structure with this stoichiometry	219	meV per atom
formation energy without anion corrections	-0.189	eV per atom
M_tot	0.00	μB per cell

=====

Record 5
Below is a PBEsol-optimized structure of Li2GaSb, with properties calculated at the meta-GGA SCAN level.

Cell and atoms, written as POSCAR:
```
Li2GaSb
1.0
0.0000 3.3219 3.3219
3.3219 0.0000 3.3219
3.3219 3.3219 0.0000
Li Ga Sb
2 1 1
Cartesian
1.6609 1.6609 1.6609
4.9828 4.9828 4.9828
0.0000 0.0000 0.0000
3.3219 3.3219 3.3219
```

Values from the calculation:
N(E_F)	0.1	states/eV/f.u.
space-group type	Fm-3m
energy above the lowest structure with this stoichiometry	0	meV per atom
formation energy without anion corrections	-0.408	eV per atom
M_tot	0.00	μB per cell

=====

Record 6
Below is a PBEsol-optimized structure of LiSc3Ga, with properties calculated at the meta-GGA SCAN level.

Cell and atoms, written as POSCAR:
```
LiSc3Ga
1.0
4.7590 0.0000 0.0000
0.0000 4.7590 0.0000
0.0000 0.0000 4.7590
Li Sc Ga
1 3 1
Cartesian
0.0000 0.0000 0.0000
0.0000 0.0000 2.3795
0.0000 2.3795 0.0000
2.3795 0.0000 0.0000
2.3795 2.3795 2.3795
```

Values from the calculation:
N(E_F)	5.0	states/eV/f.u.
space-group type	Pm-3m
M_tot	2.50	μB per cell
ΔE_f	2.25	eV per formula unit

=====

Record 7
Below is a PBEsol-optimized structure of LiScGa3, with properties calculated at the meta-GGA SCAN level.

Cell and atoms, written as POSCAR:
```
LiScGa3
1.0
5.1593 0.0000 0.0000
0.0000 5.1593 0.0000
0.0000 0.0000 5.1593
Li Sc Ga
1 1 3
Cartesian
0.0000 0.0000 0.0000
2.5797 2.5797 2.5797
0.0000 2.5797 2.5797
2.5797 0.0000 2.5797
2.5797 2.5797 0.0000
```

Values from the calculation:
N(E_F)	5.1	states/eV/f.u.
space-group type	Pm-3m
M_tot	0.00	μB per cell
ΔE_f	2.07	eV per formula unit

=====

Record 8
Below is a PBEsol-optimized structure of LiSc2Ga2, with properties calculated at the meta-GGA SCAN level.

Cell and atoms, written as POSCAR:
```
LiSc2Ga2
1.0
6.7736 0.0000 0.0000
0.0000 6.7736 0.0000
0.0000 0.0000 4.0775
Li Sc Ga
2 4 4
Cartesian
0.0000 0.0000 0.0000
3.3868 3.3868 0.0000
1.1167 2.2700 2.0388
2.2700 5.6568 2.0388
4.5035 1.1167 2.0388
5.6568 4.5035 2.0388
0.9262 4.3130 0.0000
2.4605 0.9262 0.0000
4.3130 5.8473 0.0000
5.8473 2.4605 0.0000
```

Values from the calculation:
N(E_F)	3.9	states/eV/f.u.
space-group type	P4/mbm
M_tot	0.00	μB per cell
ΔE_f	-2.63	eV per formula unit

=====

Record 9
Below is a PBEsol-optimized structure of Li2GaSe, with properties calculated at the meta-GGA SCAN level.

Cell and atoms, written as POSCAR:
```
Li2GaSe
1.0
0.0000 3.2631 3.2631
3.2631 0.0000 3.2631
3.2631 3.2631 0.0000
Li Ga Se
2 1 1
Cartesian
1.6315 1.6315 1.6315
4.8946 4.8946 4.8946
0.0000 0.0000 0.0000
3.2631 3.2631 3.2631
```

Values from the calculation:
N(E_F)	1.3	states/eV/f.u.
space-group type	Fm-3m
formation energy without anion corrections	-0.513	eV per atom
M_tot	0.00	μB per cell

=====

Record 10
Below is a PBEsol-optimized structure of Li2GaSe2, with properties calculated at the meta-GGA SCAN level.

Cell and atoms, written as POSCAR:
```
Li2GaSe2
1.0
7.7769 0.0000 0.0000
0.0000 7.7769 0.0000
0.0000 0.0000 2.8915
Li Ga Se
4 2 4
Cartesian
1.0123 2.8762 0.0000
2.8762 6.7646 0.0000
4.9008 1.0123 0.0000
6.7646 4.9008 0.0000
0.0000 0.0000 1.4457
3.8885 3.8885 1.4457
1.3216 5.2101 1.4457
2.5669 1.3216 1.4457
5.2101 6.4553 1.4457
6.4553 2.5669 1.4457
```

Values from the calculation:
N(E_F)	0.4	states/eV/f.u.
space-group type	P4/mbm
formation energy without anion corrections	-0.742	eV per atom
M_tot	0.00	μB per cell

=====

Record 11
Below is a PBEsol-optimized structure of Li2Ga2Sn, with properties calculated at the meta-GGA SCAN level.

Cell and atoms, written as POSCAR:
```
Li2Ga2Sn
1.0
7.5630 0.0000 0.0000
0.0000 7.5630 0.0000
0.0000 0.0000 3.0599
Li Ga Sn
4 4 2
Cartesian
1.3496 2.4319 0.0000
2.4319 6.2134 0.0000
5.1312 1.3496 0.0000
6.2134 5.1312 0.0000
0.9056 4.6871 1.5300
2.8760 0.9056 1.5300
4.6871 6.6575 1.5300
6.6575 2.8760 1.5300
0.0000 0.0000 1.5300
3.7815 3.7815 1.5300
```

Values from the calculation:
N(E_F)	1.9	states/eV/f.u.
space-group type	P4/mbm
energy above the lowest structure with this stoichiometry	0	meV per atom
M_tot	0.00	μB per cell
ΔE_f	-1.22	eV per formula unit

=====

Record 12
Below is a PBEsol-optimized structure of Li2Ga2Sn, with properties calculated at the meta-GGA SCAN level.

Cell and atoms, written as POSCAR:
```
Li2Ga2Sn
1.0
-1.9352 1.9352 6.2587
1.9352 -1.9352 6.2587
1.9352 1.9352 -6.2587
Li Ga Sn
2 2 1
Cartesian
1.9352 0.0000 3.1293
0.0000 1.9352 3.1293
0.0000 0.0000 1.2480
0.0000 0.0000 11.2694
0.0000 0.0000 6.2587
```

Values from the calculation:
N(E_F)	1.0	states/eV/f.u.
space-group type	I4/mmm
energy above the lowest structure with this stoichiometry	110	meV per atom
M_tot	0.00	μB per cell
ΔE_f	-0.67	eV per formula unit